Below is crystalline ZrGeMo at its relaxed geometry, with properties calculated at the GGA-PBE level.

Structure (extended XYZ):
```
3
Lattice="1.451 -3.903 1.332 -2.593 -3.509 -0.282 0.865 -3.127 -2.930" Properties=species:S:1:pos:R:3 pbc="T T T"
Mo -0.069 -2.635 -0.470
Zr -0.208 -7.905 -1.410
Ge 0.000 0.000 0.000
```

=====

Below is crystalline ZrGeMo at its relaxed geometry, with properties calculated at the GGA-PBE level.

Structure (extended XYZ):
```
12
Lattice="7.062 0.000 0.000 0.000 3.582 0.000 0.000 0.000 8.369" Properties=species:S:1:pos:R:3 pbc="T T T"
Zr 3.194 0.896 6.975
Ge 5.288 0.896 3.015
Mo 0.897 2.687 7.872
Zr 3.868 2.687 1.395
Ge 1.758 0.896 1.170
Mo 4.428 2.687 4.682
Mo 2.633 0.896 3.687
Mo 6.164 0.896 0.498
Zr 0.337 2.687 2.790
Zr 6.725 0.896 5.579
Ge 1.773 2.687 5.355
Ge 5.304 2.687 7.199
```

=====

Below is crystalline Nb3GeN2 at its relaxed geometry, with properties calculated at the GGA-PBE level.

Structure (extended XYZ):
```
12
Lattice="-2.084 1.449 1.878 -0.858 -2.569 -1.624 5.220 -10.547 13.927" Properties=species:S:1:pos:R:3 pbc="T T T"
Nb 2.610 -5.274 6.964
Nb 3.244 -10.342 11.577
N -0.902 -1.965 0.515
Ge 1.305 -2.637 3.482
Nb 0.000 0.000 0.000
N 1.299 -5.899 8.646
N 3.181 -9.702 13.667
Nb 0.225 -3.730 5.781
Nb 2.053 -7.937 8.401
Nb -0.965 -1.324 2.605
N 0.980 -5.768 5.536
Ge 3.915 -7.910 10.445
```

=====

Below is crystalline Nb4GePN2 at its relaxed geometry, with properties calculated at the GGA-PBE level.

Structure (extended XYZ):
```
8
Lattice="3.280 0.000 0.000 -1.640 2.841 0.000 0.000 0.000 11.980" Properties=species:S:1:pos:R:3 pbc="T T T"
Nb 1.640 0.947 7.723
Ge 1.640 0.947 0.000
P 0.000 0.000 5.990
Nb 1.640 0.947 4.256
N 0.000 1.894 3.058
Nb 0.000 0.000 9.989
N 0.000 1.894 8.921
Nb 0.000 0.000 1.991
```

=====

Below is crystalline Nb4GePbN2 at its relaxed geometry, with properties calculated at the GGA-PBE level.

Structure (extended XYZ):
```
8
Lattice="3.286 0.000 0.000 -1.643 2.846 0.000 0.000 0.000 13.167" Properties=species:S:1:pos:R:3 pbc="T T T"
Nb 0.000 0.000 9.004
Nb 0.000 0.000 4.163
Pb 0.000 1.897 6.584
Ge 0.000 0.000 0.000
N 1.643 0.949 3.094
N 1.643 0.949 10.073
Nb 0.000 1.897 11.231
Nb 0.000 1.897 1.936
```

=====

Below is crystalline Sc4Nb2Ge3N3 at its relaxed geometry, with properties calculated at the GGA-PBE level.

Structure (extended XYZ):
```
24
Lattice="4.788 -2.775 0.000 4.788 2.775 0.000 -3.161 0.000 13.403" Properties=species:S:1:pos:R:3 pbc="T T T"
N 2.394 1.388 0.000
Sc 0.805 0.467 5.447
Sc 5.615 -0.453 12.149
Sc -0.780 -0.453 7.955
Sc 0.800 0.453 1.254
Nb 3.994 0.465 1.121
Sc 5.611 -0.467 7.956
Sc 7.191 0.467 1.254
Ge 2.418 -2.140 10.052
Nb 2.413 -0.465 7.823
Nb 4.003 0.465 5.580
N 4.029 -1.426 6.702
Ge 2.582 -0.375 3.354
N 0.814 -1.388 6.702
Ge 1.002 0.375 10.055
N 2.387 1.426 6.702
Ge 3.998 2.140 3.351
Ge 3.833 0.375 10.049
Sc 7.196 0.453 5.448
Sc -0.776 -0.467 12.148
Ge 5.414 -0.375 3.348
N 3.967 -1.426 0.000
Nb 2.422 -0.465 12.282
N 5.610 1.426 0.000
```

=====

Below is crystalline Sc2Nb4Ge3N3 at its relaxed geometry, with properties calculated at the GGA-PBE level.

Structure (extended XYZ):
```
24
Lattice="4.812 -2.797 0.000 4.812 2.797 0.000 -3.161 0.000 12.984" Properties=species:S:1:pos:R:3 pbc="T T T"
Nb 5.653 -0.435 11.876
N 0.901 -1.305 12.982
Nb -0.770 -0.435 7.601
Sc 2.433 -0.467 7.767
N 3.982 -1.305 6.494
N 2.482 1.305 6.490
N 0.826 -1.398 6.492
Sc 4.013 0.467 1.275
Nb 0.796 0.477 5.382
N 2.406 1.398 0.000
Ge 2.278 -0.554 3.254
Nb 7.248 0.477 1.110
Ge 0.698 0.554 9.747
Ge 4.022 2.518 3.246
Nb 7.233 0.435 5.384
Ge 5.765 -0.554 3.238
Ge 2.442 -2.518 9.738
Nb 0.811 0.435 1.108
Ge 4.185 0.554 9.730
Sc 2.450 -0.467 11.709
Nb -0.784 -0.477 11.874
Nb 5.668 -0.477 7.603
Sc 4.031 0.467 5.217
N 5.562 1.305 0.002
```

=====

Below is crystalline Ta2Nb4Ge3N3 at its relaxed geometry, with properties calculated at the GGA-PBE level.

Structure (extended XYZ):
```
24
Lattice="-4.127 1.414 3.556 -5.377 -0.718 -1.501 3.363 -11.717 4.108" Properties=species:S:1:pos:R:3 pbc="T T T"
Ta -4.020 -0.937 0.848
Nb -5.349 -6.201 4.478
N -2.688 -0.359 -0.750
Ge -4.432 -3.470 -0.053
Nb 1.003 -6.689 3.054
Ge -3.917 -8.491 4.026
N -0.382 -5.152 3.832
Nb -0.871 -1.159 0.221
Ta -2.121 -10.084 5.315
Nb 1.107 -10.309 4.614
N -2.611 -6.076 1.708
Ge -2.223 -2.530 2.137
N -3.695 0.803 2.074
Nb -7.143 -4.332 3.109
Ge -5.390 -2.278 2.814
Nb -5.269 -9.862 5.942
Ta -2.122 -6.427 3.774
Ta -4.018 -4.593 2.389
Nb -0.791 -4.819 1.685
Ge -1.708 -7.551 6.216
Nb -7.247 -0.712 1.549
N -5.809 -0.106 -0.018
N -3.529 -4.945 4.455
Ge -0.750 -8.743 3.349
```

=====

Below is crystalline Ta4Nb2Ge3N3 at its relaxed geometry, with properties calculated at the GGA-PBE level.

Structure (extended XYZ):
```
24
Lattice="-2.005 5.244 0.404 -3.266 1.454 4.347 11.810 1.111 4.846" Properties=species:S:1:pos:R:3 pbc="T T T"
Ta 3.763 2.250 2.725
Ta 9.466 2.197 5.781
Nb 2.004 4.433 4.257
N 4.272 1.282 4.597
N 4.052 4.305 3.373
Ta -2.926 5.612 3.816
Ge 5.448 5.628 6.488
Nb -1.166 3.432 2.281
N 2.487 3.504 6.225
N 9.043 6.015 6.613
Ge 1.092 2.180 3.109
Ta 5.957 6.610 8.972
Ta 2.776 5.558 6.873
N -2.504 1.794 2.985
Nb 4.535 3.375 5.341
Ge 7.207 3.366 4.877
Ge -0.667 4.443 4.721
Ge 0.850 5.227 1.923
N -1.002 2.622 0.202
Ta 6.262 1.078 3.752
Ta 0.277 6.731 5.845
Ta 0.582 1.199 0.626
Nb 7.705 4.376 7.317
Ge 5.690 2.582 7.675
```

=====

Below is crystalline Nb4TlGeN2 at its relaxed geometry, with properties calculated at the GGA-PBE level.

Structure (extended XYZ):
```
8
Lattice="-2.795 0.410 -1.621 0.313 -2.461 2.111 -4.511 7.791 9.752" Properties=species:S:1:pos:R:3 pbc="T T T"
Nb -0.668 1.153 1.443
N -4.172 4.452 8.321
Ge -1.759 -0.547 -0.377
Nb -3.192 1.927 2.719
Nb -3.844 6.638 8.309
Nb -4.838 4.771 6.279
N -1.786 0.332 3.165
Tl -2.256 3.896 4.876
```

=====

Below is crystalline Nb2Ge3W4N3 at its relaxed geometry, with properties calculated at the GGA-PBE level.

Structure (extended XYZ):
```
24
Lattice="-0.828 -0.569 -5.424 0.543 -4.960 -2.352 -11.907 -0.320 4.854" Properties=species:S:1:pos:R:3 pbc="T T T"
Ge -9.687 -1.037 -1.624
Nb -1.267 -2.878 -2.667
W -7.092 -0.499 1.736
N -5.754 -3.518 -0.158
W -4.890 -1.725 0.620
Ge -8.985 -4.449 -1.352
Nb -7.463 -2.261 -0.784
Ge -2.505 -4.812 -1.298
W -7.302 -4.124 -3.543
Ge -3.307 -3.408 -4.396
W -0.942 -0.969 -0.251
W -11.093 -1.088 2.488
N -12.341 -1.646 0.847
Ge -3.207 -1.400 -1.570
N 0.149 -4.203 -3.770
Nb -4.729 -3.588 -2.139
N 0.271 -2.480 -1.176
W -5.100 -5.350 -4.658
N -6.439 -2.331 -2.764
W -11.250 -4.880 -2.672
N -6.367 -0.444 -0.285
Nb -10.925 -2.971 -0.256
W -1.099 -4.762 -5.411
Ge -8.886 -2.441 1.473
```

=====

Below is crystalline Nb4Ge3W2N3 at its relaxed geometry, with properties calculated at the GGA-PBE level.

Structure (extended XYZ):
```
24
Lattice="5.591 0.000 0.000 2.796 4.846 0.000 2.796 1.590 12.378" Properties=species:S:1:pos:R:3 pbc="T T T"
Ge 3.177 0.673 3.093
W 5.124 4.052 1.004
Nb 2.307 2.413 5.002
N 7.016 4.046 6.188
N 4.193 2.423 0.000
Ge 5.973 2.545 3.096
N 1.398 0.795 6.189
Nb 6.080 5.631 11.191
Ge 7.793 2.404 9.283
Nb 5.135 0.810 5.000
Nb 8.843 4.028 11.189
W 6.058 2.424 7.193
Nb 5.103 0.805 1.187
Nb 8.875 4.023 7.376
W 5.124 4.012 5.185
Ge 5.210 3.891 9.282
Ge 3.389 4.032 3.094
Ge 8.006 5.763 9.285
N 7.016 4.018 0.000
N 1.371 0.828 0.000
N 4.166 2.390 6.190
Nb 6.048 5.626 7.378
W 6.058 2.384 11.374
Nb 2.339 2.408 1.189
```

=====

Below is crystalline Y2Nb4Ge3N3 at its relaxed geometry, with properties calculated at the GGA-PBE level.

Structure (extended XYZ):
```
24
Lattice="4.920 -2.856 0.000 4.920 2.856 0.000 -3.495 0.000 13.287" Properties=species:S:1:pos:R:3 pbc="T T T"
Ge 0.015 0.843 9.962
N 2.208 1.364 13.282
Nb 7.257 0.460 5.583
Y 4.126 0.461 1.509
Nb 5.651 -0.470 7.700
N 2.460 1.428 0.000
Y 3.966 0.461 5.134
Nb 0.694 0.470 5.587
Y 2.219 -0.461 11.778
Y 2.379 -0.461 8.153
N 4.137 -1.364 0.005
Nb -1.053 -0.470 12.230
Nb 7.398 0.470 1.057
Ge 1.762 -0.843 3.318
N 2.390 1.364 6.648
Nb 5.510 -0.460 12.226
Ge 6.330 -0.843 3.325
Nb -0.912 -0.460 7.704
Ge 2.299 2.548 9.965
Ge 4.582 0.843 9.969
Nb 0.835 0.460 1.061
N 0.713 -1.428 6.643
Ge 4.046 -2.548 3.322
N 3.955 -1.364 6.639
```

=====

Below is crystalline Y4Nb2Ge3N3 at its relaxed geometry, with properties calculated at the GGA-PBE level.

Structure (extended XYZ):
```
24
Lattice="-3.439 -3.677 3.038 1.763 -5.531 0.937 5.531 0.862 12.927" Properties=species:S:1:pos:R:3 pbc="T T T"
N -1.972 -3.403 2.178
Y -0.246 -1.736 2.331
Y 3.401 -1.619 8.438
N 3.333 -3.877 7.614
Ge 2.841 -5.070 12.319
Ge 3.268 -2.662 11.253
Nb 2.699 -4.804 9.515
N 0.296 -5.805 1.798
Nb 4.800 -3.424 13.496
Y 5.196 -0.446 11.926
Ge 0.586 -5.683 5.649
Y 0.453 -6.726 8.465
N 1.046 -1.407 7.983
Y 1.599 -0.581 5.798
Ge 5.096 -4.594 10.961
Y 4.101 -6.610 14.572
Ge -1.241 -3.752 5.941
Nb 1.155 -3.542 7.387
Y -1.342 -7.899 4.977
N 0.881 -2.766 0.468
Nb -0.945 -4.922 3.407
N 0.521 -4.468 9.289
Y 2.256 -7.765 11.104
Ge 1.014 -3.276 4.583
```

=====

Below is crystalline Zr4Nb2Ge3N3 at its relaxed geometry, with properties calculated at the GGA-PBE level.

Structure (extended XYZ):
```
24
Lattice="-2.493 -3.102 -4.081 -0.647 -5.621 0.689 -10.671 4.970 6.756" Properties=species:S:1:pos:R:3 pbc="T T T"
Nb -11.369 -0.480 4.705
N -0.819 -4.261 -0.164
Zr -3.633 -6.126 -2.390
N -2.322 -4.462 -3.228
Zr -1.550 -0.313 -0.149
Ge -8.862 -1.605 5.210
Zr -10.179 2.373 5.754
N -6.698 -3.286 2.627
Ge -10.166 -1.761 2.565
N -5.659 -0.326 3.722
Ge -4.950 -2.148 -1.846
Ge -4.591 -4.571 -0.197
Zr -12.262 -3.440 3.513
Nb -6.335 -2.553 0.547
Zr -7.242 -5.494 -0.681
Zr -5.146 0.303 1.592
Ge -3.646 -1.992 0.800
Nb -2.443 -3.273 -1.341
Ge -9.221 0.818 3.561
N -1.247 -1.551 -2.040
Zr -6.570 1.741 4.045
N -7.114 -0.468 0.737
Zr -8.665 -4.056 1.772
Nb -7.476 -1.200 2.818
```

=====

Below is crystalline NdGeNO at its relaxed geometry, with properties calculated at the GGA-PBE level.

Structure (extended XYZ):
```
8
Lattice="-4.029 0.717 2.609 -2.701 -1.342 -3.802 0.166 -4.769 1.566" Properties=species:S:1:pos:R:3 pbc="T T T"
Ge -1.518 -4.886 1.255
N -1.580 -3.118 0.674
Nd -3.614 -2.183 1.789
O -3.033 -0.828 -2.200
Nd -2.950 -3.212 -1.417
O -3.697 0.202 1.006
Ge -5.046 -0.509 -0.882
N -4.985 -2.277 -0.301
```

Values from the calculation:
Energy relative to the lowest polymorph listed for this composition ... 10.03 kJ per mole of atoms

=====

Below is crystalline NdGeNO at its relaxed geometry, with properties calculated at the GGA-PBE level.

Structure (extended XYZ):
```
8
Lattice="-0.351 2.937 -3.002 0.107 -3.006 -2.952 -7.221 -0.553 0.302" Properties=species:S:1:pos:R:3 pbc="T T T"
Nd -1.029 -1.586 -1.431
N -3.716 -1.792 -1.318
Ge -3.610 -0.277 0.151
Nd -6.314 0.998 -1.244
O -0.122 -0.034 -2.977
O 0.000 0.000 0.000
N -3.627 1.204 -1.357
Ge -3.732 -0.311 -2.826
```

Values from the calculation:
Energy relative to the lowest polymorph listed for this composition ... 13.71 kJ per mole of atoms

=====

no.,calculated total energy (hartree per atom)
1,-0.2932
2,-0.3160
3,-0.3408
4,-0.3356
5,-0.3190
6,-0.3002
7,-0.3145
8,-0.3378
9,-0.3471
10,-0.3135
11,-0.3418
12,-0.3354
13,-0.3136
14,-0.2983
15,-0.3223
16,-0.2529
17,-0.2515